[1]
# Nd2Tm4Tl

An optimized crystal structure of Nd2Tm4Tl (GGA-PBE, Alexandria via LeMat-Bulk).

Results
theoretical density: 9.01 Mg/m³
space-group type: P2_1/m
distance to the lowest polymorph of the same formula: 0.0214 eV/atom

a = 5.8852 Å, b = 6.6187 Å, c = 11.3885 Å
α = 90.00°, β = 103.77°, γ = 90.00°
Closest atoms and distances in Å follow each position.
Element x y z (fractional)
Nd 0.0581 0.2500 0.4769  2 Tl 3.26-3.37, 4 Tm 3.39-3.44, 2 Nd 3.44
Nd 0.3395 0.7500 0.0690  9 Tm 3.24-3.56
Nd 0.6605 0.2500 0.9310  9 Tm 3.24-3.56
Nd 0.9419 0.7500 0.5231  2 Tl 3.26-3.37, 4 Tm 3.39-3.44, 2 Nd 3.44
Tm 0.1602 0.0083 0.7880  4 Tm 3.20-3.52, 1 Tl 3.29, 3 Nd 3.41-3.56
Tm 0.1602 0.4917 0.7880  4 Tm 3.20-3.52, 1 Tl 3.29, 3 Nd 3.41-3.56
Tm 0.2092 0.2500 0.0687  1 Tl 3.12, 4 Nd 3.24-3.40, 2 Tm 3.46
Tm 0.3743 0.7500 0.3680  3 Tl 3.24-3.40, 3 Nd 3.36-3.43, 2 Tm 3.60
Tm 0.6257 0.2500 0.6320  3 Tl 3.24-3.40, 3 Nd 3.36-3.43, 2 Tm 3.60
Tm 0.7908 0.7500 0.9313  1 Tl 3.12, 4 Nd 3.24-3.40, 2 Tm 3.46
Tm 0.8398 0.5083 0.2120  4 Tm 3.20-3.52, 1 Tl 3.29, 3 Nd 3.41-3.56
Tm 0.8398 0.9917 0.2120  4 Tm 3.20-3.52, 1 Tl 3.29, 3 Nd 3.41-3.56
Tl 0.4847 0.2500 0.3394  6 Tm 3.12-3.40, 2 Nd 3.26-3.37
Tl 0.5153 0.7500 0.6606  6 Tm 3.12-3.40, 2 Nd 3.26-3.37

[2]
# NdTm7Tl2

An optimized crystal structure of NdTm7Tl2 (GGA-PBE, Alexandria via LeMat-Bulk).

Results
theoretical density: 7.73 Mg/m³
raw total energy: -3.7098 eV/atom
space-group type: Cmmm

a = 8.8483 Å, b = 8.8483 Å, c = 5.4055 Å
α = 90.00°, β = 90.00°, γ = 118.24°
Closest atoms and distances in Å follow each position.
Element x y z (fractional)
Nd 0.0000 0.0000 0.0000  10 Tm 3.51-3.67
Tm 0.0592 0.3038 0.5000  2 Tl 3.10-3.23, 2 Tm 3.30-3.44
Tm 0.2311 0.7689 0.0000  2 Tl 2.93
Tm 0.3038 0.0592 0.5000  2 Tl 3.10-3.23, 2 Tm 3.30-3.44
Tm 0.5000 0.5000 0.5000  2 Tl 2.96
Tm 0.6962 0.9408 0.5000  2 Tl 3.10-3.23, 2 Tm 3.30-3.44
Tm 0.7689 0.2311 0.0000  2 Tl 2.93
Tm 0.9408 0.6962 0.5000  2 Tl 3.10-3.23, 2 Tm 3.30-3.44
Tl 0.3050 0.6950 0.5000  7 Tm 2.93-3.23
Tl 0.6950 0.3050 0.5000  7 Tm 2.93-3.23

[3]
# Nd6Tm5Tl

An optimized crystal structure of Nd6Tm5Tl (GGA-PBE, Alexandria via LeMat-Bulk).

Results
theoretical density: 8.30 Mg/m³
raw total energy: -4.4754 eV/atom
space-group type: Immm

a = 9.4445 Å, b = 9.4445 Å, c = 9.4445 Å
α = 148.85°, β = 116.91°, γ = 72.03°
Closest atoms and distances in Å follow each position.
Element x y z (fractional)
Nd 0.0788 0.3327 0.7462  7 Tm 3.51-3.58, 1 Tl 3.53, 4 Nd 3.58-3.60
Nd 0.2465 0.0000 0.2465  2 Tl 3.52, 6 Tm 3.54-3.56, 4 Nd 3.60
Nd 0.4135 0.6673 0.7462  7 Tm 3.51-3.58, 1 Tl 3.53, 4 Nd 3.58-3.60
Nd 0.5865 0.3327 0.2538  7 Tm 3.51-3.58, 1 Tl 3.53, 4 Nd 3.58-3.60
Nd 0.7535 0.0000 0.7535  2 Tl 3.52, 6 Tm 3.54-3.56, 4 Nd 3.60
Nd 0.9212 0.6673 0.2538  7 Tm 3.51-3.58, 1 Tl 3.53, 4 Nd 3.58-3.60
Tm 0.1688 0.1688 0.0000  8 Nd 3.51-3.55, 2 Tm 3.60, 2 Tl 3.62
Tm 0.3359 0.8359 0.5000  8 Nd 3.54-3.57, 4 Tm 3.57-3.60
Tm 0.5000 0.5000 0.0000  8 Nd 3.56-3.58, 4 Tm 3.57
Tm 0.6641 0.1641 0.5000  8 Nd 3.54-3.57, 4 Tm 3.57-3.60
Tm 0.8312 0.8312 0.0000  8 Nd 3.51-3.55, 2 Tm 3.60, 2 Tl 3.62
Tl 0.0000 0.5000 0.5000  8 Nd 3.52-3.53, 4 Tm 3.62

[4]
# Nd2Tm4Tl

An optimized crystal structure of Nd2Tm4Tl (GGA-PBE, Alexandria via LeMat-Bulk).

Results
theoretical density: 9.01 Mg/m³
space-group type: Pmna
distance to the lowest polymorph of the same formula: 0.0000 eV/atom

a = 6.5156 Å, b = 6.2526 Å, c = 10.5764 Å
α = 90.00°, β = 90.00°, γ = 90.00°
Closest atoms and distances in Å follow each position.
Element x y z (fractional)
Nd 0.0000 0.2411 0.0428  2 Nd 3.15-3.36, 1 Tm 3.37
Nd 0.0000 0.7589 0.9572  2 Nd 3.15-3.36, 1 Tm 3.37
Nd 0.5000 0.2411 0.4572  2 Nd 3.15-3.36, 1 Tm 3.37
Nd 0.5000 0.7589 0.5428  2 Nd 3.15-3.36, 1 Tm 3.37
Tm 0.0000 0.0688 0.3446  1 Tl 3.16, 1 Nd 3.37, 3 Tm 3.40-3.51
Tm 0.0000 0.9312 0.6554  1 Tl 3.16, 1 Nd 3.37, 3 Tm 3.40-3.51
Tm 0.2500 0.4013 0.7500  2 Tl 3.17, 4 Tm 3.26-3.51, 2 Nd 3.53
Tm 0.2500 0.5987 0.2500  2 Tl 3.17, 4 Tm 3.26-3.51, 2 Nd 3.53
Tm 0.5000 0.0688 0.1554  1 Tl 3.16, 1 Nd 3.37, 3 Tm 3.40-3.51
Tm 0.5000 0.9312 0.8446  1 Tl 3.16, 1 Nd 3.37, 3 Tm 3.40-3.51
Tm 0.7500 0.4013 0.7500  2 Tl 3.17, 4 Tm 3.26-3.51, 2 Nd 3.53
Tm 0.7500 0.5987 0.2500  2 Tl 3.17, 4 Tm 3.26-3.51, 2 Nd 3.53
Tl 0.0000 0.5000 0.5000  6 Tm 3.16-3.17
Tl 0.5000 0.5000 0.0000  6 Tm 3.16-3.17

[5]
# NdTm4Tl

An optimized crystal structure of NdTm4Tl (GGA-PBE, Alexandria via LeMat-Bulk).

Results
theoretical density: 9.04 Mg/m³
space-group type: Cmc2_1
distance to the lowest polymorph of the same formula: 0.1313 eV/atom

a = 10.8474 Å, b = 10.8474 Å, c = 6.4920 Å
α = 90.00°, β = 90.00°, γ = 150.50°
Closest atoms and distances in Å follow each position.
Element x y z (fractional)
Nd 0.0626 0.9374 0.5000  2 Tl 3.32, 5 Tm 3.50-3.70
Nd 0.9374 0.0626 0.0000  2 Tl 3.32, 5 Tm 3.50-3.70
Tm 0.1403 0.8597 0.0144  2 Tl 3.34, 7 Tm 3.39-3.66, 2 Nd 3.55-3.72
Tm 0.2561 0.7439 0.3780  1 Tl 3.09, 4 Tm 3.16-3.39
Tm 0.3164 0.6836 0.8574  1 Tl 3.09, 4 Tm 3.16-3.36
Tm 0.4586 0.5414 0.6756  2 Tl 3.03-3.05, 1 Tm 3.21
Tm 0.5414 0.4586 0.1756  2 Tl 3.03-3.05, 1 Tm 3.21
Tm 0.6836 0.3164 0.3574  1 Tl 3.09, 4 Tm 3.16-3.36
Tm 0.7439 0.2561 0.8780  1 Tl 3.09, 4 Tm 3.16-3.39
Tm 0.8597 0.1403 0.5144  2 Tl 3.34, 7 Tm 3.39-3.66, 2 Nd 3.55-3.72
Tl 0.3981 0.6019 0.2527  6 Tm 3.03-3.34, 2 Nd 3.32
Tl 0.6019 0.3981 0.7527  6 Tm 3.03-3.34, 2 Nd 3.32

[6]
# NdTm5Tl

An optimized crystal structure of NdTm5Tl (GGA-PBE, Alexandria via LeMat-Bulk).

Results
theoretical density: 8.98 Mg/m³
raw total energy: -4.0935 eV/atom
space-group type: Imm2

a = 7.0984 Å, b = 7.0984 Å, c = 7.0984 Å
α = 128.18°, β = 125.87°, γ = 78.22°
Closest atoms and distances in Å follow each position.
Element x y z (fractional)
Nd 0.0000 0.0000 0.0000  2 Tl 3.36, 6 Tm 3.49-3.73
Tm 0.3373 0.0917 0.7544  4 Tm 3.05-3.41, 1 Tl 3.15
Tm 0.3373 0.5830 0.2456  4 Tm 3.05-3.41, 1 Tl 3.15
Tm 0.3700 0.6098 0.7602  5 Tm 3.10-3.41
Tm 0.8496 0.6098 0.2398  5 Tm 3.10-3.41
Tm 0.8539 0.3539 0.5000  1 Tl 2.96, 2 Tm 3.28
Tl 0.5851 0.0851 0.5000  3 Tm 2.96-3.15

[7]
# Nd3Tm2Tl2

An optimized crystal structure of Nd3Tm2Tl2 (GGA-PBE, Alexandria via LeMat-Bulk).

Results
theoretical density: 9.19 Mg/m³
space-group type: C2/m
distance to the lowest polymorph of the same formula: 0.0000 eV/atom

a = 5.5127 Å, b = 5.5127 Å, c = 8.6996 Å
α = 108.52°, β = 108.52°, γ = 60.07°
Closest atoms and distances in Å follow each position.
Element x y z (fractional)
Nd 0.0000 0.0000 0.0000  6 Tl 3.37
Nd 0.1577 0.1577 0.4729  1 Tl 3.16, 3 Nd 3.21, 1 Tm 3.53
Nd 0.8423 0.8423 0.5271  1 Tl 3.16, 3 Nd 3.21, 1 Tm 3.53
Tm 0.4274 0.4274 0.2826  4 Tl 3.39-3.40, 1 Tm 3.52, 6 Nd 3.53-3.75
Tm 0.5726 0.5726 0.7174  4 Tl 3.39-3.40, 1 Tm 3.52, 6 Nd 3.53-3.75
Tl 0.2878 0.2878 0.8630  4 Nd 3.16-3.37, 4 Tm 3.39-3.40
Tl 0.7122 0.7122 0.1370  4 Nd 3.16-3.37, 4 Tm 3.39-3.40

[8]
# NdTm7Tl5

An optimized crystal structure of NdTm7Tl5 (GGA-PBE, Alexandria via LeMat-Bulk).

Results
theoretical density: 10.41 Mg/m³
raw total energy: -3.8165 eV/atom
space-group type: Imm2

a = 8.2795 Å, b = 8.2795 Å, c = 8.2795 Å
α = 134.21°, β = 98.01°, γ = 99.41°
Closest atoms and distances in Å follow each position.
Element x y z (fractional)
Nd 0.0000 0.0000 0.0000  10 Tm 3.65-3.98, 4 Tl 3.95
Tm 0.1814 0.4788 0.7026  5 Tl 3.15-3.20, 2 Tm 3.38-3.51
Tm 0.2184 0.7184 0.5000  4 Tl 3.05, 4 Tm 3.38-3.41
Tm 0.3390 0.9946 0.3444  5 Tl 3.24-3.34, 4 Tm 3.38-3.57
Tm 0.3499 0.3499 0.0000  4 Tl 3.30, 5 Tm 3.32-3.52
Tm 0.6503 0.9946 0.6556  5 Tl 3.24-3.34, 4 Tm 3.38-3.57
Tm 0.6596 0.6596 0.0000  1 Tm 3.32, 6 Tl 3.35-3.40, 1 Nd 3.65
Tm 0.7762 0.4788 0.2974  5 Tl 3.15-3.20, 2 Tm 3.38-3.51
Tl 0.4728 0.4852 0.4901  7 Tm 3.05-3.35, 3 Tl 3.21-3.28
Tl 0.4728 0.9828 0.9876  7 Tm 3.05-3.35, 3 Tl 3.21-3.28
Tl 0.7617 0.2617 0.5000  6 Tm 3.20-3.40, 4 Tl 3.28
Tl 0.9951 0.4852 0.0124  7 Tm 3.05-3.35, 3 Tl 3.21-3.28
Tl 0.9951 0.9828 0.5099  7 Tm 3.05-3.35, 3 Tl 3.21-3.28

[9]
# NdTm4Tl7

An optimized crystal structure of NdTm4Tl7 (GGA-PBE, Alexandria via LeMat-Bulk).

Results
theoretical density: 10.36 Mg/m³
raw total energy: -3.3457 eV/atom
space-group type: C2/m

a = 7.2658 Å, b = 7.2658 Å, c = 11.3381 Å
α = 120.90°, β = 120.90°, γ = 46.61°
Closest atoms and distances in Å follow each position.
Element x y z (fractional)
Nd 0.0000 0.0000 0.0000  2 Tl 2.87
Tm 0.2816 0.2816 0.6722  8 Tl 3.11-3.44
Tm 0.4160 0.4160 0.2174  8 Tl 3.10-3.40
Tm 0.5840 0.5840 0.7826  8 Tl 3.10-3.40
Tm 0.7184 0.7184 0.3278  8 Tl 3.11-3.44
Tl 0.0794 0.0794 0.3328  5 Tm 3.24-3.44, 4 Tl 3.24-3.57, 1 Nd 3.30
Tl 0.2138 0.2138 0.8941  4 Tm 3.11-3.23, 2 Tl 3.27-3.30
Tl 0.3639 0.3639 0.4517  5 Tm 3.10-3.31, 2 Tl 3.15-3.24
Tl 0.5000 0.5000 0.0000  2 Nd 2.87, 2 Tm 3.19
Tl 0.6361 0.6361 0.5483  5 Tm 3.10-3.31, 2 Tl 3.15-3.24
Tl 0.7862 0.7862 0.1059  4 Tm 3.11-3.23, 2 Tl 3.27-3.30
Tl 0.9206 0.9206 0.6672  5 Tm 3.24-3.44, 4 Tl 3.24-3.57, 1 Nd 3.30

[10]
# Nd2Tm3Tl3

An optimized crystal structure of Nd2Tm3Tl3 (GGA-PBE, Alexandria via LeMat-Bulk).

Results
theoretical density: 10.23 Mg/m³
raw total energy: -3.9876 eV/atom
space-group type: Pmmm

a = 4.9372 Å, b = 5.0377 Å, c = 9.1941 Å
α = 90.00°, β = 90.00°, γ = 90.00°
Closest atoms and distances in Å follow each position.
Element x y z (fractional)
Nd 0.0000 0.0000 0.2455  6 Tl 3.34-3.44, 6 Tm 3.40-3.53
Nd 0.0000 0.0000 0.7545  6 Tl 3.34-3.44, 6 Tm 3.40-3.53
Tm 0.5000 0.0000 0.5000  4 Nd 3.40, 4 Tl 3.53, 4 Tm 3.54
Tm 0.5000 0.5000 0.2297  6 Tl 3.25-3.50, 4 Nd 3.53, 2 Tm 3.54
Tm 0.5000 0.5000 0.7703  6 Tl 3.25-3.50, 4 Nd 3.53, 2 Tm 3.54
Tl 0.0000 0.5000 0.0000  4 Tm 3.25, 4 Nd 3.38, 4 Tl 3.53
Tl 0.0000 0.5000 0.5000  4 Nd 3.44, 8 Tm 3.50-3.53
Tl 0.5000 0.0000 0.0000  4 Tm 3.29, 4 Nd 3.34, 4 Tl 3.53

[11]
# Nd6Tm12Tl

An optimized crystal structure of Nd6Tm12Tl (GGA-PBE, Alexandria via LeMat-Bulk).

Results
theoretical density: 8.53 Mg/m³
raw total energy: -4.3674 eV/atom
space-group type: R-3

a = 8.4486 Å, b = 8.4486 Å, c = 8.4486 Å
α = 89.22°, β = 89.22°, γ = 89.22°
Closest atoms and distances in Å follow each position.
Element x y z (fractional)
Nd 0.1917 0.5910 0.7601  7 Tm 3.30-3.63, 1 Tl 3.47, 2 Nd 3.49
Nd 0.2399 0.8083 0.4090  7 Tm 3.30-3.63, 1 Tl 3.47, 2 Nd 3.49
Nd 0.4090 0.2399 0.8083  7 Tm 3.30-3.63, 1 Tl 3.47, 2 Nd 3.49
Nd 0.5910 0.7601 0.1917  7 Tm 3.30-3.63, 1 Tl 3.47, 2 Nd 3.49
Nd 0.7601 0.1917 0.5910  7 Tm 3.30-3.63, 1 Tl 3.47, 2 Nd 3.49
Nd 0.8083 0.4090 0.2399  7 Tm 3.30-3.63, 1 Tl 3.47, 2 Nd 3.49
Tm 0.0395 0.2754 0.9364  6 Tm 3.23-3.59, 3 Nd 3.30-3.40
Tm 0.0636 0.9605 0.7246  6 Tm 3.23-3.59, 3 Nd 3.30-3.40
Tm 0.1427 0.3073 0.4877  4 Nd 3.38-3.63, 4 Tm 3.42-3.59, 1 Tl 3.45
Tm 0.2754 0.9364 0.0395  6 Tm 3.23-3.59, 3 Nd 3.30-3.40
Tm 0.3073 0.4877 0.1427  4 Nd 3.38-3.63, 4 Tm 3.42-3.59, 1 Tl 3.45
Tm 0.4877 0.1427 0.3073  4 Nd 3.38-3.63, 4 Tm 3.42-3.59, 1 Tl 3.45
Tm 0.5123 0.8573 0.6927  4 Nd 3.38-3.63, 4 Tm 3.42-3.59, 1 Tl 3.45
Tm 0.6927 0.5123 0.8573  4 Nd 3.38-3.63, 4 Tm 3.42-3.59, 1 Tl 3.45
Tm 0.7246 0.0636 0.9605  6 Tm 3.23-3.59, 3 Nd 3.30-3.40
Tm 0.8573 0.6927 0.5123  4 Nd 3.38-3.63, 4 Tm 3.42-3.59, 1 Tl 3.45
Tm 0.9364 0.0395 0.2754  6 Tm 3.23-3.59, 3 Nd 3.30-3.40
Tm 0.9605 0.7246 0.0636  6 Tm 3.23-3.59, 3 Nd 3.30-3.40
Tl 0.5000 0.5000 0.5000  6 Tm 3.45, 6 Nd 3.47

[12]
# Nd2TmTl2

An optimized crystal structure of Nd2TmTl2 (GGA-PBE, Alexandria via LeMat-Bulk).

Results
theoretical density: 9.31 Mg/m³
space-group type: P4/mbm
distance to the lowest polymorph of the same formula: 0.0000 eV/atom

a = 8.1866 Å, b = 8.1866 Å, c = 4.6108 Å
α = 90.00°, β = 90.00°, γ = 90.00°
Closest atoms and distances in Å follow each position.
Element x y z (fractional)
Nd 0.1713 0.3287 0.0000  6 Tl 3.25-3.40
Nd 0.3287 0.8287 0.0000  6 Tl 3.25-3.40
Nd 0.6713 0.1713 0.0000  6 Tl 3.25-3.40
Nd 0.8287 0.6713 0.0000  6 Tl 3.25-3.40
Tm 0.0000 0.0000 0.5000  4 Tl 3.20
Tm 0.5000 0.5000 0.5000  4 Tl 3.20
Tl 0.1314 0.6314 0.5000  1 Tl 3.04, 2 Tm 3.20, 6 Nd 3.25-3.40
Tl 0.3686 0.1314 0.5000  1 Tl 3.04, 2 Tm 3.20, 6 Nd 3.25-3.40
Tl 0.6314 0.8686 0.5000  1 Tl 3.04, 2 Tm 3.20, 6 Nd 3.25-3.40
Tl 0.8686 0.3686 0.5000  1 Tl 3.04, 2 Tm 3.20, 6 Nd 3.25-3.40